DFT (PBE+U) results for crystalline KVGeO4 at its relaxed geometry.

Cell lengths 5.344, 5.557, 7.176 Å; angles 90.00, 103.42, 90.00 degrees
Fractional positions:
K1 0.136 0.250 0.104
K2 0.864 0.750 0.896
V1 0.166 0.750 0.461
V2 0.834 0.250 0.539
Ge1 0.380 0.250 0.662
Ge2 0.620 0.750 0.338
O1 0.146 0.017 0.671
O2 0.146 0.483 0.671
O3 0.299 0.750 0.201
O4 0.457 0.250 0.433
O5 0.543 0.750 0.567
O6 0.701 0.250 0.799
O7 0.854 0.517 0.329
O8 0.854 0.983 0.329

Calculated values
VASP energy in eV per cell: -90.73
ρ in g/cm3: 3.63
N(E_F) in states/eV per atom: 0.0000